First-principles (PBE with a Hubbard U) data for Tl2ZnCoF6 after structural relaxation, as listed in Alexandria via LeMat-Bulk.

a = 5.9571 Å, b = 5.9571 Å, c = 5.9571 Å
α = 120.63°, β = 120.63°, γ = 88.92°
Last column: nearest neighbours and their distance in Å.
Positions (direct):
Tl: 0.2500 0.7500 0.5000  12 F 2.95-2.98
Tl: 0.7500 0.2500 0.5000  12 F 2.95-2.98
Zn: 0.0000 0.0000 0.0000  6 F 2.05-2.12
Co: 0.5000 0.5000 0.0000  6 F 2.05-2.20
F: 0.2414 0.2414 0.0000  1 Zn 2.05, 1 Co 2.20
F: 0.2543 0.2543 0.5087  1 Co 2.05, 1 Zn 2.12
F: 0.2543 0.7457 0.0000  1 Co 2.05, 1 Zn 2.12
F: 0.7457 0.2543 0.0000  1 Co 2.05, 1 Zn 2.12
F: 0.7457 0.7457 0.4913  1 Co 2.05, 1 Zn 2.12
F: 0.7586 0.7586 0.0000  1 Zn 2.05, 1 Co 2.20

Summary:
For the total energy, the calculation gives -42.78 eV/cell.